Material: LaZrBeAg2
Method: DFT, PBE
State: relaxed

Calculated values
Formation enthalpy at 0 K in eV/atom: 0.138

Unit cell a=4.604 b=4.604 c=4.956 alpha=90.00 beta=90.00 gamma=90.00
Sites, in units of the cell vectors:
La 0.000 0.000 0.000
Zr 0.500 0.500 0.000
Be 0.500 0.500 0.500
Ag 0.000 0.500 0.500
Ag 0.500 0.000 0.500

=====

Material: PtW3
Method: DFT, PBE
State: relaxed

Calculated values
Formation enthalpy at 0 K in eV/atom: 0.066

Unit cell a=4.907 b=4.907 c=5.013 alpha=97.99 beta=97.99 gamma=32.40
Sites, in units of the cell vectors:
Pt 0.000 0.000 0.000
W 0.256 0.256 0.754
W 0.500 0.500 0.500
W 0.744 0.744 0.246

=====

Material: Li2TaSi
Method: DFT, PBE
State: relaxed

Calculated values
Uncorrected energy in eV per atom: -5.06

Unit cell a=5.156 b=5.156 c=5.156 alpha=147.18 beta=129.10 gamma=61.89
Sites, in units of the cell vectors:
Li 0.000 0.000 0.000
Li 0.756 0.256 0.500
Ta 0.483 0.483 0.000
Si 0.223 0.723 0.500

=====

Material: TaTeRu
Method: DFT, PBE
State: relaxed

Calculated values
Excess energy over the best structure of this formula in the dataset in kcal/mol of atoms: 0.00

Unit cell a=3.151 b=4.193 c=10.199 alpha=90.00 beta=90.30 gamma=90.00
Sites, in units of the cell vectors:
Ta 0.249 0.250 0.414
Ta 0.751 0.750 0.586
Te 0.256 0.750 0.842
Te 0.744 0.250 0.158
Ru 0.253 0.250 0.659
Ru 0.747 0.750 0.341

=====

Material: YMn2BC
Method: DFT, PBE
State: relaxed

Calculated values
Formation enthalpy at 0 K in eV/atom: -0.354

Unit cell a=5.246 b=5.246 c=6.707 alpha=90.00 beta=90.00 gamma=140.60
Sites, in units of the cell vectors:
Y 0.040 0.960 0.750
Y 0.960 0.040 0.250
Mn 0.317 0.683 0.561
Mn 0.317 0.683 0.939
Mn 0.683 0.317 0.061
Mn 0.683 0.317 0.439
B 0.235 0.765 0.250
B 0.765 0.235 0.750
C 0.500 0.500 0.000
C 0.500 0.500 0.500

=====

Material: SiAg3Au6
Method: DFT, PBE
State: relaxed

Calculated values
Uncorrected energy in eV per atom: -3.34

Unit cell a=8.068 b=4.378 c=11.141 alpha=90.00 beta=109.92 gamma=90.00
Sites, in units of the cell vectors:
Si 0.013 0.250 0.297
Si 0.987 0.750 0.703
Ag 0.288 0.250 0.118
Ag 0.328 0.750 0.790
Ag 0.485 0.250 0.676
Ag 0.515 0.750 0.324
Ag 0.672 0.250 0.210
Ag 0.712 0.750 0.882
Au 0.089 0.750 0.946
Au 0.103 0.250 0.629
Au 0.123 0.750 0.214
Au 0.267 0.750 0.528
Au 0.340 0.250 0.395
Au 0.469 0.750 0.063
Au 0.531 0.250 0.937
Au 0.660 0.750 0.605
Au 0.733 0.250 0.472
Au 0.877 0.250 0.786
Au 0.897 0.750 0.371
Au 0.911 0.250 0.054

=====

Material: Sm3Tl2Zn4
Method: DFT, PBE
State: relaxed

Calculated values
Formation enthalpy at 0 K in eV/atom: -0.341

Unit cell a=5.942 b=5.942 c=8.962 alpha=111.52 beta=111.52 gamma=46.52
Sites, in units of the cell vectors:
Sm 0.000 0.000 0.000
Sm 0.336 0.336 0.327
Sm 0.664 0.664 0.673
Tl 0.386 0.386 0.722
Tl 0.614 0.614 0.278
Zn 0.067 0.067 0.412
Zn 0.281 0.281 0.962
Zn 0.719 0.719 0.038
Zn 0.933 0.933 0.588

=====

Material: Hg3RuI
Method: DFT, PBE
State: relaxed

Calculated values
Excess energy over the best structure of this formula in the dataset in kcal/mol of atoms: 0.00

Unit cell a=5.365 b=5.365 c=5.365 alpha=90.00 beta=90.00 gamma=90.00
Sites, in units of the cell vectors:
Hg 0.000 0.000 0.500
Hg 0.000 0.500 0.000
Hg 0.500 0.000 0.000
Ru 0.000 0.000 0.000
I 0.500 0.500 0.500

=====

> Which formula does entry 7 have?

Sm3Tl2Zn4